## 1
Here is a relaxed structure of AcMg4Pd2 from Alexandria. Energies are from PBE.

a = 4.5235 Å, b = 8.3003 Å, c = 8.3003 Å
α = 90.00°, β = 90.00°, γ = 90.00°
Closest atoms and distances in Å follow each position.
Sites, in units of the cell vectors:
Mg (0.5000, 0.4113, 0.8392)  3 Pd 2.78-2.79, 2 Mg 2.94-3.05
Mg (0.5000, 0.5887, 0.1608)  3 Pd 2.78-2.79, 2 Mg 2.94-3.05
Mg (0.5000, 0.8392, 0.4113)  3 Pd 2.78-2.79, 2 Mg 2.94-3.05
Mg (0.5000, 0.1608, 0.5887)  3 Pd 2.78-2.79, 2 Mg 2.94-3.05
Mg (0.0000, 0.0887, 0.3392)  3 Pd 2.78-2.79, 2 Mg 2.94-3.05
Pd (0.5000, 0.2736, 0.2736)  6 Mg 2.78-2.79
Mg (0.0000, 0.9113, 0.6608)  3 Pd 2.78-2.79, 2 Mg 2.94-3.05
Mg (0.0000, 0.3392, 0.0887)  3 Pd 2.78-2.79, 2 Mg 2.94-3.05
Pd (0.0000, 0.2264, 0.7736)  6 Mg 2.78-2.79
Ac (0.0000, 0.5000, 0.5000)  6 Pd 3.21-3.49
Pd (0.5000, 0.7264, 0.7264)  6 Mg 2.78-2.79
Pd (0.0000, 0.7736, 0.2264)  6 Mg 2.78-2.79
Ac (0.5000, 0.0000, 0.0000)  6 Pd 3.21-3.49
Mg (0.0000, 0.6608, 0.9113)  3 Pd 2.78-2.79, 2 Mg 2.94-3.05

## Properties
space-group type = P4_2/mnm, No. 136
DOS(E_F) = 7.3 states/eV/cell
magnetization = 0.0000 μB per atom

***

## 2
Here is a relaxed structure of AcMg4Pd2 from Alexandria. Energies are from PBE.

a = 4.3647 Å, b = 4.3976 Å, c = 8.6018 Å
α = 104.81°, β = 90.00°, γ = 90.00°
Closest atoms and distances in Å follow each position.
Sites, in units of the cell vectors:
Mg (0.0000, 0.3196, 0.6392)  2 Pd 2.71
Pd (0.5000, 0.4162, 0.8324)  4 Mg 2.71-2.72, 1 Pd 2.79
Mg (0.5000, 0.1803, 0.3606)  2 Pd 2.72
Mg (0.5000, 0.8197, 0.6394)  2 Pd 2.72
Mg (0.0000, 0.6804, 0.3608)  2 Pd 2.71
Ac (0.0000, 0.0000, 0.0000)  8 Pd 3.40, 8 Mg 3.71-3.72
Pd (0.5000, 0.5838, 0.1676)  4 Mg 2.71-2.72, 1 Pd 2.79

## Properties
space-group type = Cmmm, No. 65
DOS(E_F) = 3.1 states/eV/cell
magnetization = 0.0000 μB per atom

***

Stability ranking, top entry: 1; the second entry is 62 meV/atom less favorable.

***

## 1
Here is a relaxed structure of Ac2MgPd from Alexandria. Energies are from PBE.

a = 3.9061 Å, b = 3.9061 Å, c = 8.1916 Å
α = 90.00°, β = 90.00°, γ = 90.00°
Closest atoms and distances in Å follow each position.
Sites, in units of the cell vectors:
Mg (0.5000, 0.5000, 0.5000)  8 Ac 3.59, 4 Mg 3.91
Ac (0.0000, 0.0000, 0.7794)  4 Pd 3.30, 4 Mg 3.59, 1 Ac 3.61
Ac (0.0000, 0.0000, 0.2206)  4 Pd 3.30, 4 Mg 3.59, 1 Ac 3.61
Pd (0.5000, 0.5000, 0.0000)  8 Ac 3.30

## Properties
space-group type = P4/mmm, No. 123
DOS(E_F) = 2.9 states/eV/cell
magnetization = 0.0000 μB per atom

***

## 2
Here is a relaxed structure of Ac2MgPd from Alexandria. Energies are from PBE.

a = 4.4942 Å, b = 5.3097 Å, c = 6.7195 Å
α = 113.20°, β = 109.53°, γ = 90.03°
Closest atoms and distances in Å follow each position.
Sites, in units of the cell vectors:
Pd (0.4999, 0.0090, 0.0000)  2 Mg 2.65
Ac (0.1696, 0.1788, 0.3390)  2 Pd 2.97-2.98
Ac (0.8302, 0.8393, 0.6610)  2 Pd 2.97-2.98
Mg (0.5003, 0.5089, 0.0000)  2 Pd 2.65

## Properties
space-group type = C2/m, No. 12
DOS(E_F) = 4.0 states/eV/cell
magnetization = 0.0000 μB per atom

***

Stability ranking, top entry: 1; the second entry is 50 meV/atom less favorable.

***

## 1
Here is a relaxed structure of Ac2MgPd from Alexandria. Energies are from PBE.

a = 3.7242 Å, b = 3.7242 Å, c = 11.5239 Å
α = 80.70°, β = 80.70°, γ = 60.00°
Closest atoms and distances in Å follow each position.
Sites, in units of the cell vectors:
Mg (0.5000, 0.5000, 0.5000)  6 Ac 3.59, 6 Mg 3.72
Ac (0.0821, 0.0821, 0.7537)  1 Pd 2.79
Pd (0.0000, 0.0000, 0.0000)  2 Ac 2.79
Ac (0.9179, 0.9179, 0.2463)  1 Pd 2.79

## Properties
space-group type = R-3m, No. 166
DOS(E_F) = 3.6 states/eV/cell
magnetization = 0.0000 μB per atom

***

## 2
Here is a relaxed structure of Ac2MgPd from Alexandria. Energies are from PBE.

a = 5.5936 Å, b = 5.5936 Å, c = 5.5936 Å
α = 60.00°, β = 60.00°, γ = 60.00°
Closest atoms and distances in Å follow each position.
Sites, in units of the cell vectors:
Mg (0.0000, 0.0000, 0.0000)  8 Ac 3.43
Ac (0.2500, 0.2500, 0.2500)  4 Mg 3.43, 4 Pd 3.43
Pd (0.5000, 0.5000, 0.5000)  8 Ac 3.43
Ac (0.7500, 0.7500, 0.7500)  4 Pd 3.43, 4 Mg 3.43

## Properties
space-group type = Fm-3m, No. 225
DOS(E_F) = 2.5 states/eV/cell
magnetization = 0.0000 μB per atom

***

Stability ranking, top entry: 2; the second entry is 479 meV/atom less favorable.

***

## 1
Here is a relaxed structure of AcMg2Pd from Alexandria. Energies are from PBE.

a = 4.3587 Å, b = 5.9245 Å, c = 8.4632 Å
α = 90.00°, β = 90.00°, γ = 111.62°
Closest atoms and distances in Å follow each position.
Sites, in units of the cell vectors:
Ac (0.0584, 0.1163, 0.7500)  3 Pd 3.13-3.23
Mg (0.6582, 0.3169, 0.4436)  3 Pd 2.82-2.89, 2 Mg 3.12
Mg (0.3418, 0.6831, 0.9436)  3 Pd 2.82-2.89, 2 Mg 3.12
Mg (0.3418, 0.6831, 0.5564)  3 Pd 2.82-2.89, 2 Mg 3.12
Pd (0.2253, 0.4514, 0.2500)  6 Mg 2.82-2.89, 1 Ac 3.13
Pd (0.7747, 0.5486, 0.7500)  6 Mg 2.82-2.89, 1 Ac 3.13
Mg (0.6582, 0.3169, 0.0564)  3 Pd 2.82-2.89, 2 Mg 3.12
Ac (0.9416, 0.8837, 0.2500)  3 Pd 3.13-3.23

## Properties
space-group type = Cmcm, No. 63
DOS(E_F) = 3.3 states/eV/cell
magnetization = 0.0000 μB per atom

***

## 2
Here is a relaxed structure of AcMg2Pd from Alexandria. Energies are from PBE.

a = 5.9355 Å, b = 8.3251 Å, c = 16.4550 Å
α = 90.00°, β = 90.00°, γ = 90.00°
Closest atoms and distances in Å follow each position.
Sites, in units of the cell vectors:
Pd (0.2486, 0.2500, 0.3138)  6 Mg 2.86-2.89, 2 Ac 3.15-3.18
Pd (0.4743, 0.7500, 0.4304)  6 Mg 2.84-2.85, 1 Ac 3.08
Ac (0.2687, 0.7500, 0.1040)  3 Pd 3.15-3.37, 2 Mg 3.47
Mg (0.0378, 0.5562, 0.7887)  3 Pd 2.84-2.89, 1 Mg 3.13
Mg (0.2785, 0.0586, 0.4575)  3 Pd 2.85-2.86, 2 Mg 3.13
Ac (0.5405, 0.7500, 0.8642)  3 Pd 3.08-3.24
Mg (0.2785, 0.4414, 0.4575)  3 Pd 2.85-2.86, 2 Mg 3.13
Mg (0.5378, 0.0562, 0.7113)  3 Pd 2.84-2.89, 1 Mg 3.13
Ac (0.7687, 0.2500, 0.3960)  3 Pd 3.15-3.37, 2 Mg 3.47
Mg (0.7215, 0.5586, 0.5425)  3 Pd 2.85-2.86, 2 Mg 3.13
Ac (0.0405, 0.2500, 0.6358)  3 Pd 3.08-3.24
Pd (0.5257, 0.2500, 0.5696)  6 Mg 2.84-2.85, 1 Ac 3.08
Ac (0.4595, 0.2500, 0.1358)  3 Pd 3.08-3.24
Pd (0.7514, 0.7500, 0.6862)  6 Mg 2.86-2.89, 2 Ac 3.15-3.18
Mg (0.7785, 0.9414, 0.0425)  3 Pd 2.85-2.86, 2 Mg 3.13
Mg (0.7215, 0.9414, 0.5425)  3 Pd 2.85-2.86, 2 Mg 3.13
Pd (0.0257, 0.7500, 0.9304)  6 Mg 2.84-2.85, 1 Ac 3.08
Ac (0.9595, 0.7500, 0.3642)  3 Pd 3.08-3.24
Mg (0.2215, 0.4414, 0.9575)  3 Pd 2.85-2.86, 2 Mg 3.13
Ac (0.7313, 0.2500, 0.8960)  3 Pd 3.15-3.37, 2 Mg 3.47
Mg (0.7785, 0.5586, 0.0425)  3 Pd 2.85-2.86, 2 Mg 3.13
Mg (0.4622, 0.5562, 0.2887)  3 Pd 2.84-2.89, 1 Mg 3.13
Mg (0.4622, 0.9438, 0.2887)  3 Pd 2.84-2.89, 1 Mg 3.13
Mg (0.2215, 0.0586, 0.9575)  3 Pd 2.85-2.86, 2 Mg 3.13
Mg (0.0378, 0.9438, 0.7887)  3 Pd 2.84-2.89, 1 Mg 3.13
Mg (0.9622, 0.0562, 0.2113)  3 Pd 2.84-2.89, 1 Mg 3.13
Mg (0.9622, 0.4438, 0.2113)  3 Pd 2.84-2.89, 1 Mg 3.13
Pd (0.7486, 0.7500, 0.1862)  6 Mg 2.86-2.89, 2 Ac 3.15-3.18
Pd (0.9743, 0.2500, 0.0696)  6 Mg 2.84-2.85, 1 Ac 3.08
Pd (0.2514, 0.2500, 0.8138)  6 Mg 2.86-2.89, 2 Ac 3.15-3.18
Ac (0.2313, 0.7500, 0.6040)  3 Pd 3.15-3.37, 2 Mg 3.47
Mg (0.5378, 0.4438, 0.7113)  3 Pd 2.84-2.89, 1 Mg 3.13

## Properties
space-group type = Pnma, No. 62
DOS(E_F) = 21.0 states/eV/cell
magnetization = 0.0000 μB per atom

***

## 3
Here is a relaxed structure of AcMg2Pd from Alexandria. Energies are from PBE.

a = 4.5572 Å, b = 4.5572 Å, c = 6.4973 Å
α = 69.47°, β = 69.47°, γ = 60.00°
Closest atoms and distances in Å follow each position.
Sites, in units of the cell vectors:
Ac (0.0000, 0.0000, 0.0000)  8 Mg 3.49-3.65
Pd (0.5000, 0.5000, 0.5000)  6 Mg 2.72
Mg (0.7953, 0.7953, 0.6142)  3 Pd 2.72, 3 Mg 2.96
Mg (0.2047, 0.2047, 0.3858)  3 Pd 2.72, 3 Mg 2.96

## Properties
space-group type = R-3m, No. 166
DOS(E_F) = 3.9 states/eV/cell
magnetization = 0.0000 μB per atom

***

Stability ranking, top entry: 1; the second entry is 23 meV/atom less favorable.